Record 1
First-principles (PBE) data for a relaxed ZrRuC crystal, as listed in Alexandria.

Symmetry ... No. 69
Calculated volume ... 13.75 Å³/atom
Calculated formation energy ... 0.07 eV/atom
D(E_F) ... 5.13 states/eV per cell

The structure in POSCAR format:
```
ZrRuC
1.0
-4.133 -0.303 0.987
3.163 -1.375 4.170
0.211 3.102 2.912
C Zr Ru
2 2 2
Cartesian
-0.812 2.301 2.459
-2.671 0.844 1.635
-0.158 0.886 4.133
-2.330 -0.817 3.170
-0.654 0.797 0.967
-2.828 2.349 3.127
```

Record 2
First-principles (PBE) data for a relaxed ZrRuC2 crystal, as listed in Alexandria.

Symmetry ... No. 225
Calculated volume ... 10.88 Å³/atom
Calculated formation energy ... 0.55 eV/atom
D(E_F) ... 1.29 states/eV per cell

The structure in POSCAR format:
```
ZrRuC2
1.0
0.000 2.792 2.792
2.792 0.000 2.792
2.792 2.792 0.000
Ru C Zr
1 2 1
Cartesian
2.792 2.792 2.792
1.396 1.396 1.396
4.188 4.188 4.188
0.000 0.000 0.000
```

Record 3
First-principles (PBE) data for a relaxed C4S crystal, as listed in Alexandria.

Symmetry ... No. 221
ΔE_f (raw) ... 347.7 kJ per mole of atoms
Calculated volume ... 8.51 Å³/atom
D(E_F) ... 3.06 states/eV per cell

The structure in POSCAR format:
```
C4S
1.0
3.491 0.000 0.000
0.000 3.491 0.000
0.000 0.000 3.491
S C
1 4
Cartesian
1.746 1.746 1.746
0.000 0.000 0.000
1.746 0.000 1.746
0.000 1.746 1.746
1.746 1.746 0.000
```

Record 4
First-principles (PBE) data for a relaxed C2S3 crystal, as listed in Alexandria.

Symmetry ... No. 14
ΔE_f (raw) ... 29.8 kJ per mole of atoms
Calculated volume ... 24.51 Å³/atom
D(E_F) ... 0.00 states/eV per cell

The structure in POSCAR format:
```
C2S3
1.0
6.962 0.000 0.000
0.000 6.489 -0.354
0.000 3.120 10.680
C S
8 12
Cartesian
0.005 2.096 5.770
6.957 7.513 4.557
3.486 9.073 9.897
3.476 0.536 0.429
1.558 4.114 9.425
5.404 5.495 0.901
5.039 7.054 6.241
1.923 2.554 4.085
5.779 2.087 7.031
1.183 7.521 3.295
2.298 9.081 8.635
4.664 0.527 1.691
0.300 4.775 8.587
6.662 4.833 1.739
3.781 6.393 7.079
3.181 3.216 3.247
4.683 7.852 10.182
2.278 1.757 0.144
1.203 3.317 5.485
5.759 6.292 4.842
```